Li6FeCoP2C2O14 | GGA+U | relaxed

a b c (Å): 6.434 5.020 8.525
angles (deg): 83.67 90.00 90.00
Site moments in Bohr magnetons follow the coordinates.
Element x y z (fractional)
O  0.500  0.082  0.935  0.02
O  0.000  0.163  0.424  0.03
O  0.000  0.601  0.900  0.01
Li  0.764  0.728  0.727  0.00
O  0.500  0.416  0.429  0.02
O  0.500  0.401  0.104  0.00
O  0.000  0.924  0.065  0.03
C  0.000  0.675  0.041  0.00
C  0.500  0.331  0.962  0.00
O  0.500  0.827  0.574  0.02
O  0.500  0.514  0.840  0.02
Li  0.000  0.203  0.895  0.00
Li  0.267  0.270  0.273  0.00
O  0.312  0.839  0.306  0.03
Li  0.500  0.799  0.104  0.00
P  0.000  0.266  0.587  0.01
P  0.500  0.729  0.410  0.01
O  0.000  0.578  0.566  0.03
Fe  0.500  0.211  0.667  3.77
Co  0.000  0.792  0.333  2.73
Li  0.236  0.728  0.727  0.00
Li  0.733  0.270  0.273  0.00
O  0.813  0.159  0.693  0.03
O  0.000  0.496  0.165  0.04
O  0.187  0.159  0.693  0.03
O  0.688  0.839  0.306  0.03

Total magnetization, μB per atom: 0.27
Final energy, eV per atom: -6.617